# 1
VASP calculation (PBE) on an optimized crystal structure of ScPbBr2.

formation energy (no corrections) = -0.754 eV per atom
excess energy over the best structure of this formula in the dataset = 0.91 eV per formula unit

Cell lengths 3.8072, 3.8072, 7.3805 Å; angles 90.00, 90.00, 90.00 degrees
Fractional coordinates of all 4 atoms:
Sc: 0.0000 0.0000 0.0000
Pb: 0.5000 0.5000 0.6867
Br: 0.0000 0.0000 0.3755
Br: 0.5000 0.5000 0.0990



# 2
VASP calculation (PBE) on an optimized crystal structure of Zn2SbTe2.

formation energy (no corrections) = 0.135 eV per atom

Cell lengths 5.7136, 5.7136, 5.7136 Å; angles 122.40, 122.40, 85.90 degrees
Fractional coordinates of all 5 atoms:
Zn: 0.1474 0.1474 0.0000
Zn: 0.8526 0.8526 0.0000
Sb: 0.5000 0.5000 0.0000
Te: 0.2500 0.7500 0.5000
Te: 0.7500 0.2500 0.5000



# 3
VASP calculation (PBE) on an optimized crystal structure of Hf2TaZnOs.

formation energy = 1.23 eV per atom

Cell lengths 4.7624, 4.7624, 4.6084 Å; angles 90.00, 90.00, 90.00 degrees
Fractional coordinates of all 5 atoms:
Hf: 0.0000 0.5000 0.0000
Hf: 0.5000 0.0000 0.0000
Ta: 0.0000 0.0000 0.5000
Zn: 0.0000 0.0000 0.0000
Os: 0.5000 0.5000 0.5000



# 4
VASP calculation (PBE) on an optimized crystal structure of Sm3Zn2Si3.

formation energy (no corrections) = -0.609 eV per atom

Cell lengths 5.8343, 5.8343, 15.1402 Å; angles 90.00, 90.00, 138.31 degrees
Fractional coordinates of all 16 atoms:
Sm: 0.0602 0.9398 0.7500
Sm: 0.3576 0.6424 0.5952
Sm: 0.3576 0.6424 0.9048
Sm: 0.6424 0.3576 0.0952
Sm: 0.6424 0.3576 0.4048
Sm: 0.9398 0.0602 0.2500
Zn: 0.3520 0.6480 0.1180
Zn: 0.3520 0.6480 0.3820
Zn: 0.6480 0.3520 0.6180
Zn: 0.6480 0.3520 0.8820
Si: 0.0765 0.9235 0.5541
Si: 0.0765 0.9235 0.9459
Si: 0.2151 0.7849 0.2500
Si: 0.7849 0.2151 0.7500
Si: 0.9235 0.0765 0.0541
Si: 0.9235 0.0765 0.4459



# 5
VASP calculation (PBE) on an optimized crystal structure of K2ZrH2Se4.

Cell lengths 8.7690, 8.7690, 7.4991 Å; angles 112.38, 112.38, 23.94 degrees
Fractional coordinates of all 9 atoms:
K: 0.1398 0.1398 0.1146
K: 0.8602 0.8602 0.8854
Zr: 0.0000 0.0000 0.5000
H: 0.3135 0.3135 0.3717
H: 0.6865 0.6865 0.6283
Se: 0.1778 0.1778 0.6771
Se: 0.4958 0.4958 0.7531
Se: 0.5042 0.5042 0.2469
Se: 0.8222 0.8222 0.3229



# 6
VASP calculation (PBE) on an optimized crystal structure of Tb2PmThSc4.

formation energy = 0.04 eV per atom

Cell lengths 5.0003, 5.0003, 9.0576 Å; angles 90.00, 90.00, 90.00 degrees
Fractional coordinates of all 8 atoms:
Tb: 0.0000 0.0000 0.0000
Tb: 0.5000 0.5000 0.5000
Pm: 0.0000 0.0000 0.5000
Th: 0.5000 0.5000 0.0000
Sc: 0.0000 0.5000 0.2462
Sc: 0.0000 0.5000 0.7538
Sc: 0.5000 0.0000 0.2462
Sc: 0.5000 0.0000 0.7538



Magnetization for every record listed, in sequence, given in μB per atom: 0.000; 0.000; 0.000; 0.000; 0.000; 0.000.
DOS at the Fermi energy for every record listed, in sequence, given in states/eV/atom: 0.4062; 0.4241; 1.1923; 0.6818; 0.0388; 1.3319.
Total energy for every record listed, in sequence, given in eV per atom: -4.1007; -2.4558; -7.6237; -4.7307; -4.2842; -5.8057.